one | A relaxed AuSe5 crystal. Source: the Alexandria database, functional PBE.

Properties
M_tot ... 0.0 μB per cell
Space-group type ... No. 189

```
6
Lattice="6.4391 0.0000 0.0000 -3.2195 5.5764 0.0000 0.0000 0.0000 3.6845" Properties=species:S:1:pos:R:3 pbc="T T T"
Au 0.0000 0.0000 0.0000
Se -2.1603 3.7417 1.8422
Se 1.0592 1.8347 1.8422
Se 0.0000 3.7176 0.0000
Se 3.2195 1.8588 0.0000
Se 4.3206 0.0000 1.8422
```

two | A relaxed AuSe5 crystal. Source: the Alexandria database, functional PBE.

Properties
M_tot ... 0.0 μB per cell
Space-group type ... No. 8

```
12
Lattice="8.2821 0.0000 0.0000 0.0000 3.7877 0.0000 -0.3239 0.0000 9.6887" Properties=species:S:1:pos:R:3 pbc="T T T"
Au 0.0000 0.0000 0.0000
Au 4.1411 1.8938 0.0000
Se 0.2670 1.8938 6.4434
Se 0.8995 1.8938 1.4108
Se 2.1447 0.0000 3.3959
Se 2.8593 0.0000 8.2595
Se 3.1787 1.8938 4.7584
Se 4.4081 0.0000 6.4434
Se 5.0405 0.0000 1.4108
Se 6.2857 1.8938 3.3959
Se 7.0004 1.8938 8.2595
Se 7.3198 0.0000 4.7584
```

Energy comparison, zero being the most stable, in meV per atom: one 251; two 0.